GGA-PBE BaTl3Fe, optimized geometry; calculated volume = 146 Å³/cell; calculated formation energy = -0.014 eV per atom; SG = No. 221; spin magnetization = 2.00 μB/f.u.; energy above the lowest structure with this stoichiometry = 0 meV/atom
1.0
-1.249 -4.450 -2.532
3.595 -2.618 2.828
-3.646 -1.057 3.657
Tl Ba Fe
3 1 1
direct
0.000 0.500 0.000
0.000 0.000 0.500
0.500 0.000 0.000
0.500 0.500 0.500
0.000 0.000 0.000